BaNdDyFeO6 (PBE with a Hubbard U, relaxed); energy = -7.14 eV/atom
1.0
0.000 4.131 4.131
4.131 0.000 4.131
4.131 4.131 0.000
O Dy Fe Ba Nd
6 1 1 1 1
direct
0.264 0.736 0.264
0.264 0.264 0.736
0.736 0.264 0.736
0.736 0.264 0.264
0.736 0.736 0.264
0.264 0.736 0.736
0.000 0.000 0.000
0.500 0.500 0.500
0.250 0.250 0.250
0.750 0.750 0.750


BaDyFe4O7 (PBE with a Hubbard U, relaxed); energy = -6.88 eV/atom
1.0
6.474 0.016 0.000
0.260 6.468 0.000
-3.367 -3.242 4.479
Fe Dy O Ba
4 1 7 1
direct
0.588 0.861 0.210
0.139 0.349 0.728
0.651 0.379 0.790
0.621 0.412 0.272
0.000 0.000 0.000
0.754 0.754 0.000
0.750 0.250 0.500
0.246 0.246 0.000
0.278 0.172 0.498
0.828 0.325 0.106
0.675 0.780 0.502
0.220 0.722 0.894
0.250 0.750 0.500


BaDyFe4O7 (PBE with a Hubbard U, relaxed); energy = -6.92 eV/atom
1.0
-5.386 -1.144 7.499
0.538 -6.299 -0.575
5.196 -0.022 3.728
Fe Ba O Dy
8 2 14 2
direct
0.622 0.760 0.999
0.362 0.508 0.786
0.371 0.014 0.733
0.130 0.284 0.518
0.862 0.492 0.214
0.630 0.716 0.482
0.122 0.240 0.001
0.871 0.986 0.267
0.498 0.229 0.233
0.998 0.771 0.767
0.271 0.457 0.067
0.215 0.564 0.559
0.277 0.049 0.467
0.491 0.773 0.244
0.240 0.965 0.959
0.998 0.753 0.218
0.993 0.232 0.268
0.740 0.035 0.041
0.493 0.768 0.732
0.498 0.247 0.782
0.715 0.436 0.441
0.777 0.951 0.533
0.991 0.227 0.756
0.771 0.543 0.933
0.249 0.753 0.256
0.749 0.247 0.744


Q: What is the energy in the third record?
A: -6.92 eV/atom


Q: What is the energy in the third record?
A: -6.92 eV/atom